[1]
Density functional theory data (PBE) for TmNi4C after structural relaxation.

a = 6.7997 Å, b = 3.4294 Å, c = 6.1215 Å
α = 90.00°, β = 90.00°, γ = 90.00°
Space group Pmma (No. 51)
Symmetry-distinct sites (fractional):
Tm 0.2500 0.0000 0.0899 (multiplicity 2)
Ni 0.0000 0.0000 0.5000 (multiplicity 2)
Ni 0.0662 0.5000 0.7900 (multiplicity 4)
Ni 0.2500 0.5000 0.4537 (multiplicity 2)
C 0.2500 0.0000 0.6564 (multiplicity 2)

For the formation energy, the calculation gives -0.09 eV/atom. The total magnetic moment comes out at 0.00 μB/atom.

[2]
Density functional theory data (PBE) for LiFeNi2 after structural relaxation.

a = 2.5226 Å, b = 2.5226 Å, c = 25.0713 Å
α = 90.00°, β = 90.00°, γ = 120.00°
Space group R-3m (No. 166, hexagonal axes)
Symmetry-distinct sites (fractional):
Li 0.0000 0.0000 0.0000 (multiplicity 3)
Fe 0.0000 0.0000 0.5000 (multiplicity 3)
Ni 0.0000 0.0000 0.2475 (multiplicity 6)

For the formation energy, the calculation gives -0.01 eV/atom. The total magnetic moment comes out at 0.91 μB/atom.

[3]
Density functional theory data (PBE) for IrC after structural relaxation.

a = 5.6877 Å, b = 5.6877 Å, c = 5.6877 Å
α = 90.00°, β = 90.00°, γ = 90.00°
Space group Pm-3n (No. 223)
Symmetry-distinct sites (fractional):
Ir 0.0000 0.2500 0.5000 (multiplicity 6)
C 0.0000 0.5000 0.2500 (multiplicity 6)

For the formation energy, the calculation gives 0.82 eV/atom. The energy above the lowest structure with this stoichiometry is 0.3601 eV per atom. The total magnetic moment comes out at 0.00 μB/atom.

[4]
Density functional theory data (PBE) for SrAlAs2 after structural relaxation.

a = 4.0385 Å, b = 4.7333 Å, c = 4.7441 Å
α = 90.00°, β = 90.00°, γ = 90.00°
Space group Pmmm (No. 47)
Symmetry-distinct sites (fractional):
Sr 0.0000 0.0000 0.0000 (multiplicity 1)
Al 0.0000 0.5000 0.5000 (multiplicity 1)
As 0.5000 0.0000 0.5000 (multiplicity 1)
As 0.5000 0.5000 0.0000 (multiplicity 1)

For the formation energy, the calculation gives -0.31 eV/atom. The total magnetic moment comes out at 0.00 μB/atom.

[5]
Density functional theory data (PBE) for Be2Sb2Rh after structural relaxation.

a = 4.2596 Å, b = 4.2596 Å, c = 10.0104 Å
α = 90.00°, β = 90.00°, γ = 90.00°
Space group I4/mmm (No. 139)
Symmetry-distinct sites (fractional):
Be 0.0000 0.0000 0.0998 (multiplicity 4)
Sb 0.0000 0.5000 0.2500 (multiplicity 4)
Rh 0.0000 0.0000 0.5000 (multiplicity 2)

The calculation puts the uncorrected formation energy at 0.77 eV per atom. The total magnetic moment comes out at 0.00 μB/atom.

[6]
Density functional theory data (PBE) for Tl2CoRu after structural relaxation.

a = 6.7125 Å, b = 6.7125 Å, c = 6.7125 Å
α = 90.00°, β = 90.00°, γ = 90.00°
Space group F-43m (No. 216)
Symmetry-distinct sites (fractional):
Tl 0.0000 0.0000 0.0000 (multiplicity 4)
Tl 0.2500 0.2500 0.2500 (multiplicity 4)
Co 0.2500 0.2500 0.7500 (multiplicity 4)
Ru 0.0000 0.0000 0.5000 (multiplicity 4)

For the formation energy, the calculation gives 0.90 eV/atom. The energy above the lowest structure with this stoichiometry is 0.4316 eV per atom. The total magnetic moment comes out at 0.81 μB/atom.